VASP calculation (PBE-GGA) on a relaxed PtPbCl2 crystal.

Calculated values
Energy relative to the lowest polymorph listed for this composition ... 0.045 eV per atom
Formation energy from raw total energies ... -0.33 eV per atom

Unit cell a=4.0501 b=4.0501 c=22.8122 alpha=90.00 beta=90.00 gamma=120.00
Space group R3m (No. 160, hexagonal axes)
Symmetry-distinct sites (fractional):
Pt 0.0000 0.0000 0.0000 x3
Pb 0.0000 0.0000 0.7264 x3
Cl 0.0000 0.0000 0.2799 x3
Cl 0.0000 0.0000 0.4742 x3

VASP calculation (PBE-GGA) on a relaxed PtPbCl2 crystal.

Calculated values
Energy relative to the lowest polymorph listed for this composition ... 0.354 eV per atom
Formation energy from raw total energies ... -0.02 eV per atom

Unit cell a=4.066 b=4.066 c=10.772 alpha=90.00 beta=90.00 gamma=90.00
Space group I-4m2 (No. 119)
Symmetry-distinct sites (fractional):
Pt 0.000 0.000 0.000 x2
Pb 0.000 0.500 0.250 x2
Cl 0.000 0.000 0.500 x2
Cl 0.000 0.500 0.750 x2

VASP calculation (PBE-GGA) on a relaxed PtPbCl2 crystal.

Calculated values
Energy relative to the lowest polymorph listed for this composition ... 0.426 eV per atom
Formation energy from raw total energies ... 0.05 eV per atom

Unit cell a=7.033 b=7.033 c=7.033 alpha=90.00 beta=90.00 gamma=90.00
Space group Fm-3m (No. 225)
Symmetry-distinct sites (fractional):
Pt 0.000 0.000 0.000 x4
Pb 0.000 0.000 0.500 x4
Cl 0.250 0.250 0.250 x8

VASP calculation (PBE-GGA) on a relaxed PtPb2Cl crystal.

Calculated values
Energy relative to the lowest polymorph listed for this composition ... 0.128 eV per atom
Formation energy from raw total energies ... -0.34 eV per atom

Unit cell a=3.688 b=3.712 c=15.931 alpha=90.00 beta=90.00 gamma=90.00
Space group Imm2 (No. 44)
Symmetry-distinct sites (fractional):
Pt 0.000 0.000 0.000 x2
Pb 0.000 0.000 0.420 x2
Pb 0.000 0.500 0.135 x2
Cl 0.000 0.500 0.748 x2

VASP calculation (PBE-GGA) on a relaxed PtPb2Cl crystal.

Calculated values
Energy relative to the lowest polymorph listed for this composition ... 0.109 eV per atom
Formation energy from raw total energies ... -0.36 eV per atom

Unit cell a=3.732 b=4.639 c=5.820 alpha=90.00 beta=90.00 gamma=90.00
Space group Pmmm (No. 47)
Symmetry-distinct sites (fractional):
Pt 0.000 0.000 0.000 x1
Pb 0.000 0.000 0.500 x1
Pb 0.500 0.500 0.000 x1
Cl 0.500 0.500 0.500 x1

VASP calculation (PBE-GGA) on a relaxed PtPbCl2 crystal.

Calculated values
Energy relative to the lowest polymorph listed for this composition ... 0.254 eV per atom
Formation energy from raw total energies ... -0.12 eV per atom

Unit cell a=4.775 b=4.775 c=17.279 alpha=90.00 beta=90.00 gamma=90.00
Space group I-42d (No. 122)
Symmetry-distinct sites (fractional):
Pt 0.000 0.000 0.000 x4
Pb 0.000 0.000 0.500 x4
Cl 0.202 0.250 0.125 x8

VASP calculation (PBE-GGA) on a relaxed PtPbCl6 crystal.

Calculated values
Energy relative to the lowest polymorph listed for this composition ... 0.049 eV per atom
Formation energy from raw total energies ... -0.67 eV per atom

Unit cell a=6.4513 b=6.4513 c=17.9238 alpha=90.00 beta=90.00 gamma=120.00
Space group R-3 (No. 148, hexagonal axes)
Symmetry-distinct sites (fractional):
Pt 0.0000 0.0000 0.0000 x3
Pb 0.0000 0.0000 0.5000 x3
Cl 0.0170 0.6262 0.5913 x18

VASP calculation (PBE-GGA) on a relaxed PtPbCl2 crystal.

Calculated values
Energy relative to the lowest polymorph listed for this composition ... 0.201 eV per atom
Formation energy from raw total energies ... -0.17 eV per atom

Unit cell a=6.129 b=7.476 c=4.091 alpha=90.00 beta=90.00 gamma=90.00
Space group Cmmm (No. 65)
Symmetry-distinct sites (fractional):
Pt 0.000 0.000 0.000 x2
Pb 0.000 0.500 0.000 x2
Cl 0.000 0.205 0.500 x4

VASP calculation (PBE-GGA) on a relaxed PtPbCl2 crystal.

Calculated values
Energy relative to the lowest polymorph listed for this composition ... 0.538 eV per atom
Formation energy from raw total energies ... 0.17 eV per atom

Unit cell a=3.637 b=3.637 c=6.606 alpha=90.00 beta=90.00 gamma=90.00
Space group P4/mmm (No. 123)
Symmetry-distinct sites (fractional):
Pt 0.000 0.000 0.000 x1
Pb 0.000 0.000 0.500 x1
Cl 0.500 0.500 0.241 x2

VASP calculation (PBE-GGA) on a relaxed PtPbCl crystal.

Calculated values
Energy relative to the lowest polymorph listed for this composition ... 0.307 eV per atom
Formation energy from raw total energies ... 0.14 eV per atom

Unit cell a=6.817 b=6.817 c=6.817 alpha=90.00 beta=90.00 gamma=90.00
Space group F-43m (No. 216)
Symmetry-distinct sites (fractional):
Pt 0.000 0.000 0.000 x4
Pb 0.250 0.250 0.750 x4
Cl 0.000 0.000 0.500 x4

VASP calculation (PBE-GGA) on a relaxed Pt4PbCl crystal.

Calculated values
Formation energy from raw total energies ... 0.13 eV per atom

Unit cell a=7.708 b=7.708 c=7.708 alpha=90.00 beta=90.00 gamma=90.00
Space group F-43m (No. 216)
Symmetry-distinct sites (fractional):
Pt 0.125 0.125 0.125 x16
Pb 0.000 0.000 0.500 x4
Cl 0.250 0.250 0.750 x4

VASP calculation (PBE-GGA) on a relaxed PtPbCl2 crystal.

Calculated values
Energy relative to the lowest polymorph listed for this composition ... 0.198 eV per atom
Formation energy from raw total energies ... -0.18 eV per atom

Unit cell a=10.687 b=3.664 c=5.390 alpha=90.00 beta=120.03 gamma=90.00
Space group C2/m (No. 12)
Symmetry-distinct sites (fractional):
Pt 0.000 0.000 0.000 x2
Pb 0.000 0.500 0.500 x2
Cl 0.188 0.500 0.189 x4

VASP calculation (PBE-GGA) on a relaxed PtPbCl2 crystal.

Calculated values
Energy relative to the lowest polymorph listed for this composition ... 0.387 eV per atom
Formation energy from raw total energies ... 0.01 eV per atom

Unit cell a=6.983 b=6.983 c=6.983 alpha=90.00 beta=90.00 gamma=90.00
Space group F-43m (No. 216)
Symmetry-distinct sites (fractional):
Pt 0.000 0.000 0.000 x4
Pb 0.250 0.250 0.250 x4
Cl 0.000 0.000 0.500 x4
Cl 0.250 0.250 0.750 x4

VASP calculation (PBE-GGA) on a relaxed RbPtPbCl6 crystal.

Calculated values
Formation energy from raw total energies ... -0.97 eV per atom

Unit cell a=7.042 b=7.046 c=7.093 alpha=91.03 beta=91.06 gamma=117.81
Space group P1 (No. 1)
Symmetry-distinct sites (fractional):
Rb 0.000 0.000 0.000 x1
Pt 0.669 0.331 0.501 x1
Pb 0.322 0.678 0.500 x1
Cl 0.392 0.034 0.730 x1
Cl 0.395 0.332 0.307 x1
Cl 0.659 0.048 0.310 x1
Cl 0.666 0.603 0.695 x1
Cl 0.953 0.342 0.692 x1
Cl 0.965 0.609 0.272 x1

VASP calculation (PBE-GGA) on a relaxed RuPt2PbCl crystal.

Calculated values
Formation energy from raw total energies ... 0.77 eV per atom

Unit cell a=4.759 b=4.759 c=5.603 alpha=90.00 beta=90.00 gamma=90.00
Space group P4/mmm (No. 123)
Symmetry-distinct sites (fractional):
Ru 0.000 0.000 0.000 x1
Pt 0.000 0.500 0.000 x2
Pb 0.000 0.000 0.500 x1
Cl 0.500 0.500 0.500 x1

VASP calculation (PBE-GGA) on a relaxed PtPbSCl2 crystal.

Calculated values
Energy relative to the lowest polymorph listed for this composition ... 0.000 eV per atom
Formation energy from raw total energies ... -0.25 eV per atom

Unit cell a=4.958 b=4.958 c=4.863 alpha=90.00 beta=90.00 gamma=90.00
Space group P4/mmm (No. 123)
Symmetry-distinct sites (fractional):
Pt 0.000 0.000 0.000 x1
Pb 0.500 0.500 0.500 x1
S 0.000 0.000 0.500 x1
Cl 0.000 0.500 0.000 x2

VASP calculation (PBE-GGA) on a relaxed PtPbS2Cl crystal.

Calculated values
Energy relative to the lowest polymorph listed for this composition ... 0.000 eV per atom
Formation energy from raw total energies ... -0.09 eV per atom

Unit cell a=4.845 b=4.845 c=5.059 alpha=90.00 beta=90.00 gamma=90.00
Space group P4/mmm (No. 123)
Symmetry-distinct sites (fractional):
Pt 0.000 0.000 0.000 x1
Pb 0.500 0.500 0.500 x1
S 0.000 0.500 0.000 x2
Cl 0.000 0.000 0.500 x1

VASP calculation (PBE-GGA) on a relaxed PtPbSCl2 crystal.

Calculated values
Energy relative to the lowest polymorph listed for this composition ... 0.889 eV per atom
Formation energy from raw total energies ... 0.64 eV per atom

Unit cell a=5.245 b=5.245 c=5.390 alpha=90.00 beta=90.00 gamma=90.00
Space group P4/mmm (No. 123)
Symmetry-distinct sites (fractional):
Pt 0.000 0.000 0.000 x1
Pb 0.500 0.500 0.500 x1
S 0.500 0.500 0.000 x1
Cl 0.000 0.500 0.500 x2

VASP calculation (PBE-GGA) on a relaxed PtPbS2Cl crystal.

Calculated values
Energy relative to the lowest polymorph listed for this composition ... 1.063 eV per atom
Formation energy from raw total energies ... 0.97 eV per atom

Unit cell a=5.204 b=5.204 c=5.145 alpha=90.00 beta=90.00 gamma=90.00
Space group P4/mmm (No. 123)
Symmetry-distinct sites (fractional):
Pt 0.000 0.000 0.000 x1
Pb 0.500 0.500 0.500 x1
S 0.000 0.500 0.500 x2
Cl 0.500 0.500 0.000 x1

VASP calculation (PBE-GGA) on a relaxed SbPtPb2Cl crystal.

Calculated values
Formation energy from raw total energies ... -0.03 eV per atom

Unit cell a=5.749 b=5.749 c=4.979 alpha=90.00 beta=90.00 gamma=90.00
Space group P4/mmm (No. 123)
Symmetry-distinct sites (fractional):
Sb 0.000 0.000 0.000 x1
Pt 0.000 0.000 0.500 x1
Pb 0.000 0.500 0.500 x2
Cl 0.500 0.500 0.000 x1